## KCo2Sb (PBE)

Data for a geometry-optimized KCo2Sb structure.

For the energy above the most stable polymorph in this dataset, the calculation gives 0.000 eV per atom. For the formation energy without anion corrections, the calculation gives 2.343 kcal/mol of atoms. Its crystal system is trigonal. Its total energy is -4.756 eV per atom.

Geometry as POSCAR:
```
KCo2Sb
1.0
2.085 1.204 6.367
-2.085 1.204 6.367
0.000 -2.407 6.367
K Co Sb
1 2 1
Direct
0.000 0.000 0.000
0.475 0.475 0.475
0.802 0.802 0.802
0.191 0.191 0.191
```